Material: OsC2
Method: DFT, PBE-GGA
State: optimized geometry Values from VASP.

## Properties
* M_tot: 0.0 Bohr magnetons per cell
* ΔH_f (0 K): 1.5572 eV/atom
* D(E_F): 3.76 states/eV per cell
* E above lowest polymorph: 993 meV/atom
* symmetry: P-31m, No. 162
* V: 106 Å³ per cell

Quantum ESPRESSO input file:
```
&SYSTEM
  ibrav = 0, nat = 9, ntyp = 2
/
ATOMIC_SPECIES
Os 190.23 Os.upf
C 12.01 C.upf
CELL_PARAMETERS angstrom
4.8881 0.0000 0.0000
-2.4440 4.2332 0.0000
0.0000 0.0000 5.0990
ATOMIC_POSITIONS angstrom
Os 0.0000 0.0000 0.0000
Os 0.0000 2.8221 2.5495
Os 2.4440 1.4111 2.5495
C -0.7485 1.2965 1.3558
C -1.6955 2.9368 3.7431
C 1.4970 0.0000 1.3558
C 0.7485 1.2965 3.7431
C 3.3911 0.0000 3.7431
C 1.6955 2.9368 1.3558
```



Material: RePb3
Method: DFT, PBE-GGA
State: optimized geometry Values from VASP.

## Properties
* M_tot: 0.0 Bohr magnetons per cell
* ΔH_f (0 K): 0.9796 eV/atom
* D(E_F): 8.59 states/eV per cell
* E above lowest polymorph: 561 meV/atom
* symmetry: Pm-3n, No. 223
* V: 195 Å³ per cell

Quantum ESPRESSO input file:
```
&SYSTEM
  ibrav = 0, nat = 8, ntyp = 2
/
ATOMIC_SPECIES
Re 186.21 Re.upf
Pb 207.20 Pb.upf
CELL_PARAMETERS angstrom
5.8001 0.0000 0.0000
0.0000 5.8001 0.0000
0.0000 0.0000 5.8001
ATOMIC_POSITIONS angstrom
Re 0.0000 0.0000 0.0000
Re 2.9000 2.9000 2.9000
Pb 0.0000 1.4500 2.9000
Pb 0.0000 4.3500 2.9000
Pb 1.4500 2.9000 0.0000
Pb 2.9000 0.0000 1.4500
Pb 2.9000 0.0000 4.3500
Pb 4.3500 2.9000 0.0000
```



Material: KNi2Hg
Method: DFT, PBE-GGA
State: optimized geometry Values from VASP.

## Properties
* M_tot: 0.0 Bohr magnetons per cell
* ΔH_f (0 K): 0.7206 eV/atom
* D(E_F): 3.76 states/eV per cell
* symmetry: C2/m, No. 12
* V: 72 Å³ per cell

Quantum ESPRESSO input file:
```
&SYSTEM
  ibrav = 0, nat = 4, ntyp = 3
/
ATOMIC_SPECIES
K 39.10 K.upf
Ni 58.69 Ni.upf
Hg 200.59 Hg.upf
CELL_PARAMETERS angstrom
3.1466 -3.8974 0.0000
3.1466 3.8974 0.0000
-0.0410 0.0000 2.9449
ATOMIC_POSITIONS angstrom
K 0.0000 0.0000 0.0000
Ni 1.5528 1.9487 1.4724
Ni 1.5528 -1.9487 1.4724
Hg 3.1466 0.0000 0.0000
```



- What is the formula in the third record?
  KNi2Hg